# 1
Computed, not measured: a relaxed In2IrPt crystal at the PBE level of DFT.

Unit cell a=8.784 b=8.784 c=8.784 alpha=20.51 beta=20.51 gamma=20.51
Positions (direct):
In: 0.001 0.001 0.001
In: 0.499 0.499 0.499
Ir: 0.750 0.750 0.750
Pt: 0.250 0.250 0.250

Output
Energy above the most stable polymorph in this dataset: 0.59 eV per formula unit
Crystal system: trigonal

=====

# 2
Computed, not measured: a relaxed TiFe2ReH crystal at the PBE level of DFT.

Unit cell a=3.698 b=3.698 c=3.987 alpha=90.00 beta=90.00 gamma=90.00
Positions (direct):
Re: 0.000 0.000 0.500
Fe: 0.000 0.500 0.000
Fe: 0.500 0.000 0.000
H: 0.000 0.000 0.000
Ti: 0.500 0.500 0.500

Output
Energy above the most stable polymorph in this dataset: 0.24 eV per formula unit
Crystal system: tetragonal

=====

# 3
Computed, not measured: a relaxed TmNbOs crystal at the PBE level of DFT.

Unit cell a=3.266 b=3.266 c=5.877 alpha=106.13 beta=106.13 gamma=90.00
Positions (direct):
Nb: 0.688 0.688 0.376
Tm: 0.994 0.994 0.987
Os: 0.318 0.318 0.637

Output
Energy above the most stable polymorph in this dataset: 0.39 eV per formula unit
Crystal system: tetragonal

=====

# 4
Computed, not measured: a relaxed LuScSiPd crystal at the PBE level of DFT.

Unit cell a=4.774 b=4.774 c=4.774 alpha=60.00 beta=60.00 gamma=60.00
Positions (direct):
Sc: 0.500 0.500 0.500
Si: 0.750 0.750 0.750
Lu: 0.000 0.000 0.000
Pd: 0.250 0.250 0.250

Output
Energy relative to the elements, uncorrected: -0.76 eV per atom
Crystal system: cubic